(1)
Density functional theory data (PBE-GGA) for an optimized crystal structure of HoErTh14.

Results
Crystal system ... orthorhombic
ΔH_f (0 K) ... 0.50 eV/f.u.
Total DFT energy (no corrections) ... -112.52 eV for the cell shown

Cell lengths 7.1660, 7.1660, 11.5672 Å; angles 90.00, 90.00, 119.99 degrees
Atoms (fractional coordinates):
1 Ho 0.0404 0.9596 0.5000
2 Er 0.5406 0.4594 0.5000
3 Th 0.2075 0.7925 0.0000
4 Th 0.7075 0.2925 0.0000
5 Th 0.0439 0.4558 0.5000
6 Th 0.2080 0.2922 0.0000
7 Th 0.5442 0.9561 0.5000
8 Th 0.7078 0.7920 0.0000
9 Th 0.3750 0.1252 0.7496
10 Th 0.3750 0.1252 0.2504
11 Th 0.8748 0.6250 0.7496
12 Th 0.8748 0.6250 0.2504
13 Th 0.3752 0.6248 0.7505
14 Th 0.3752 0.6248 0.2495
15 Th 0.8751 0.1249 0.7508
16 Th 0.8751 0.1249 0.2492

=====

(2)
Density functional theory data (PBE-GGA) for an optimized crystal structure of Ho12Er6Th.

Results
Crystal system ... trigonal
ΔH_f (0 K) ... 2.81 eV/f.u.
Energy relative to the lowest polymorph listed for this composition ... 0 meV/atom
Total DFT energy (no corrections) ... -86.92 eV for the cell shown

Cell lengths 8.4582, 8.4582, 8.4582 Å; angles 88.53, 88.53, 88.53 degrees
Atoms (fractional coordinates):
1 Ho 0.7746 0.5430 0.4381
2 Ho 0.4381 0.7746 0.5430
3 Ho 0.5430 0.4381 0.7746
4 Ho 0.2254 0.4570 0.5619
5 Ho 0.5619 0.2254 0.4570
6 Ho 0.4570 0.5619 0.2254
7 Ho 0.0084 0.2107 0.3498
8 Ho 0.7893 0.6502 0.9916
9 Ho 0.6502 0.9916 0.7893
10 Ho 0.9916 0.7893 0.6502
11 Ho 0.2107 0.3498 0.0084
12 Ho 0.3498 0.0084 0.2107
13 Er 0.7458 0.9084 0.3113
14 Er 0.6887 0.2542 0.0916
15 Er 0.0916 0.6887 0.2542
16 Er 0.2542 0.0916 0.6887
17 Er 0.3113 0.7458 0.9084
18 Er 0.9084 0.3113 0.7458
19 Th 0.0000 0.0000 0.0000

=====

(3)
Density functional theory data (PBE-GGA) for an optimized crystal structure of HoEr5Th.

Results
Crystal system ... monoclinic
ΔH_f (0 K) ... 1.38 eV/f.u.
Energy relative to the lowest polymorph listed for this composition ... 0 meV/atom
Total DFT energy (no corrections) ... -66.87 eV for the cell shown

Cell lengths 6.0868, 9.2156, 8.5516 Å; angles 86.17, 78.33, 70.72 degrees
Atoms (fractional coordinates):
1 Ho 0.5134 0.9732 0.7500
2 Ho 0.4866 0.0268 0.2500
3 Er 0.3884 0.6261 0.8539
4 Er 0.4597 0.3119 0.5386
5 Er 0.0145 0.3739 0.3539
6 Er 0.8515 0.2971 0.7500
7 Er 0.2284 0.3119 0.9614
8 Er 0.7716 0.6881 0.0386
9 Er 0.1485 0.7029 0.2500
10 Er 0.9855 0.6261 0.6461
11 Er 0.5403 0.6881 0.4614
12 Er 0.6116 0.3739 0.1461
13 Th 0.0000 0.0000 0.0000
14 Th 0.0000 0.0000 0.5000

=====

(4)
Density functional theory data (PBE-GGA) for an optimized crystal structure of HoEr2Th.

Results
Crystal system ... tetragonal
ΔH_f (0 K) ... 0.10 eV/f.u.
Energy relative to the lowest polymorph listed for this composition ... 34 meV/atom
Total DFT energy (no corrections) ... -21.02 eV for the cell shown

Cell lengths 3.5331, 3.5331, 10.0191 Å; angles 90.00, 90.00, 90.00 degrees
Atoms (fractional coordinates):
1 Ho 0.5000 0.5000 0.0000
2 Th 0.5000 0.5000 0.5000
3 Er 0.0000 0.0000 0.7465
4 Er 0.0000 0.0000 0.2535

=====

(5)
Density functional theory data (PBE-GGA) for an optimized crystal structure of Ho2ErTh.

Results
Crystal system ... triclinic
ΔH_f (0 K) ... 0.14 eV/f.u.
Energy relative to the lowest polymorph listed for this composition ... 9 meV/atom
Total DFT energy (no corrections) ... -42.00 eV for the cell shown

Cell lengths 3.5341, 6.7317, 11.5555 Å; angles 95.17, 107.83, 74.67 degrees
Atoms (fractional coordinates):
1 Ho 0.0313 0.0130 0.5568
2 Ho 0.4816 0.0919 0.0455
3 Ho 0.7548 0.5599 0.0538
4 Ho 0.7580 0.5450 0.5485
5 Er 0.6105 0.3138 0.7857
6 Er 0.9022 0.7911 0.8165
7 Th 0.1461 0.3083 0.3178
8 Th 0.3670 0.7966 0.2846

=====

(6)
Density functional theory data (PBE-GGA) for an optimized crystal structure of Ho5Er12Th2.

Results
Crystal system ... monoclinic
ΔH_f (0 K) ... 2.84 eV/f.u.
Energy relative to the lowest polymorph listed for this composition ... 73 meV/atom
Total DFT energy (no corrections) ... -89.64 eV for the cell shown

Cell lengths 9.2961, 12.2305, 8.4259 Å; angles 132.31, 90.00, 112.34 degrees
Atoms (fractional coordinates):
1 Ho 0.3044 0.6089 0.6215
2 Ho 0.2326 0.4652 0.8896
3 Ho 0.0000 0.0000 0.5000
4 Ho 0.7674 0.5349 0.1104
5 Ho 0.6956 0.3911 0.3785
6 Er 0.0881 0.1761 0.2928
7 Er 0.0256 0.6921 0.9355
8 Er 0.6665 0.6921 0.9355
9 Er 0.1807 0.7456 0.4022
10 Er 0.5649 0.7456 0.4022
11 Er 0.5568 0.1136 0.7880
12 Er 0.4432 0.8864 0.2120
13 Er 0.8193 0.2544 0.5978
14 Er 0.4351 0.2544 0.5978
15 Er 0.9744 0.3079 0.0645
16 Er 0.3335 0.3079 0.0645
17 Er 0.9119 0.8239 0.7072
18 Th 0.6800 0.0000 0.0000
19 Th 0.3200 0.0000 0.0000

=====

(7)
Density functional theory data (PBE-GGA) for an optimized crystal structure of Ho2Er2Th5.

Results
Crystal system ... triclinic
ΔH_f (0 K) ... 0.59 eV/f.u.
Total DFT energy (no corrections) ... -54.79 eV for the cell shown

Cell lengths 6.1734, 6.1748, 10.2838 Å; angles 59.82, 66.34, 60.05 degrees
Atoms (fractional coordinates):
1 Ho 0.1114 0.8861 0.6685
2 Ho 0.8886 0.1139 0.3315
3 Er 0.3370 0.3308 0.0011
4 Er 0.6630 0.6692 0.9989
5 Th 0.5576 0.7763 0.3337
6 Th 0.4424 0.2237 0.6663
7 Th 0.2224 0.4480 0.3329
8 Th 0.7776 0.5520 0.6671
9 Th 0.0000 0.0000 0.0000

=====

(8)
Density functional theory data (PBE-GGA) for an optimized crystal structure of Ho6Er12Th.

Results
Crystal system ... trigonal
ΔH_f (0 K) ... 2.86 eV/f.u.
Energy relative to the lowest polymorph listed for this composition ... 0 meV/atom
Total DFT energy (no corrections) ... -86.78 eV for the cell shown

Cell lengths 8.4488, 8.4488, 8.4488 Å; angles 88.53, 88.53, 88.53 degrees
Atoms (fractional coordinates):
1 Ho 0.7456 0.9100 0.3131
2 Ho 0.6869 0.2544 0.0900
3 Ho 0.0900 0.6869 0.2544
4 Ho 0.2544 0.0900 0.6869
5 Ho 0.3131 0.7456 0.9100
6 Ho 0.9100 0.3131 0.7456
7 Er 0.7733 0.5438 0.4384
8 Er 0.4384 0.7733 0.5438
9 Er 0.5438 0.4384 0.7733
10 Er 0.2267 0.4562 0.5616
11 Er 0.5616 0.2267 0.4562
12 Er 0.4562 0.5616 0.2267
13 Er 0.0079 0.2128 0.3487
14 Er 0.7872 0.6513 0.9921
15 Er 0.6513 0.9921 0.7872
16 Er 0.9921 0.7872 0.6513
17 Er 0.2128 0.3487 0.0079
18 Er 0.3487 0.0079 0.2128
19 Th 0.0000 0.0000 0.0000

=====

(9)
Density functional theory data (PBE-GGA) for an optimized crystal structure of HoEr2Th.

Results
Crystal system ... trigonal
ΔH_f (0 K) ... -0.03 eV/f.u.
Energy relative to the lowest polymorph listed for this composition ... 0 meV/atom
Total DFT energy (no corrections) ... -42.31 eV for the cell shown

Cell lengths 3.5648, 6.1623, 11.8568 Å; angles 90.01, 107.54, 89.98 degrees
Atoms (fractional coordinates):
1 Ho 0.5065 0.3025 0.8012
2 Ho 0.0065 0.8024 0.8012
3 Er 0.2540 0.9689 0.5480
4 Er 0.2589 0.1360 0.0543
5 Er 0.7588 0.6360 0.0544
6 Er 0.7540 0.4689 0.5480
7 Th 0.0063 0.3024 0.3011
8 Th 0.5063 0.8025 0.3012

=====

(10)
Density functional theory data (PBE-GGA) for an optimized crystal structure of Ho2Er12Th5.

Results
Crystal system ... monoclinic
ΔH_f (0 K) ... 4.12 eV/f.u.
Energy relative to the lowest polymorph listed for this composition ... 64 meV/atom
Total DFT energy (no corrections) ... -96.89 eV for the cell shown

Cell lengths 7.0145, 9.9260, 10.1425 Å; angles 68.24, 90.00, 110.69 degrees
Atoms (fractional coordinates):
1 Ho 0.7158 0.0000 0.0000
2 Ho 0.2842 0.0000 0.0000
3 Er 0.9724 0.9448 0.2369
4 Er 0.0888 0.6859 0.8625
5 Er 0.5970 0.6859 0.8625
6 Er 0.0819 0.6673 0.5155
7 Er 0.5854 0.6673 0.5155
8 Er 0.5045 0.0090 0.6768
9 Er 0.4955 0.9910 0.3232
10 Er 0.9181 0.3327 0.4845
11 Er 0.4146 0.3327 0.4845
12 Er 0.9112 0.3141 0.1375
13 Er 0.4030 0.3141 0.1375
14 Er 0.0276 0.0552 0.7631
15 Th 0.1866 0.3732 0.8187
16 Th 0.3211 0.6423 0.2095
17 Th 0.0000 0.0000 0.5000
18 Th 0.6789 0.3577 0.7905
19 Th 0.8134 0.6268 0.1813

=====

(11)
Density functional theory data (PBE-GGA) for an optimized crystal structure of Ho10Er4Th.

Results
Crystal system ... tetragonal
ΔH_f (0 K) ... 5.91 eV/f.u.
Total DFT energy (no corrections) ... -65.54 eV for the cell shown

Cell lengths 10.3250, 8.5793, 8.5793 Å; angles 68.77, 53.01, 53.01 degrees
Site moments in Bohr magnetons follow the coordinates.
Atoms (fractional coordinates):
1 Ho 0.2500 0.5000 0.5000  0.00
2 Ho 0.5488 0.3251 0.8998  0.00
3 Ho 0.1261 0.1002 0.3251  0.00
4 Ho 0.5514 0.8998 0.6749  0.00
5 Ho 0.7737 0.6749 0.1002  0.00
6 Ho 0.4512 0.6749 0.1002  0.00
7 Ho 0.7500 0.5000 0.5000  0.00
8 Ho 0.2263 0.3251 0.8998  0.00
9 Ho 0.4486 0.1002 0.3251  0.00
10 Ho 0.8739 0.8998 0.6749  0.00
11 Er 0.3350 0.7362 0.5938  0.08
12 Er 0.9288 0.4062 0.7362  0.08
13 Er 0.0712 0.5938 0.2638  0.08
14 Er 0.6650 0.2638 0.4062  0.08
15 Th 0.0000 0.0000 0.0000  0.35

=====

(12)
Density functional theory data (PBE-GGA) for an optimized crystal structure of HoEr5Th.

Results
Crystal system ... orthorhombic
ΔH_f (0 K) ... 2.06 eV/f.u.
Energy relative to the lowest polymorph listed for this composition ... 98 meV/atom
Total DFT energy (no corrections) ... -32.75 eV for the cell shown

Cell lengths 10.4137, 6.5291, 6.9513 Å; angles 118.01, 138.51, 90.00 degrees
Atoms (fractional coordinates):
1 Ho 0.7193 0.0000 0.0000
2 Er 0.2964 0.2281 0.4563
3 Er 0.8185 0.5000 0.0000
4 Er 0.8401 0.7719 0.5437
5 Er 0.3724 0.7720 0.0000
6 Er 0.3724 0.2280 0.0000
7 Th 0.1116 0.5000 0.0000

=====

(13)
Density functional theory data (PBE-GGA) for an optimized crystal structure of Ho15Er4Th.

Results
Crystal system ... tetragonal
ΔH_f (0 K) ... 0.49 eV/f.u.
Total DFT energy (no corrections) ... -93.85 eV for the cell shown

Cell lengths 4.9934, 4.9934, 24.8434 Å; angles 90.00, 90.00, 90.00 degrees
Atoms (fractional coordinates):
1 Ho 0.5000 0.5000 0.0000
2 Ho 0.5000 0.5000 0.2016
3 Ho 0.5000 0.5000 0.4002
4 Ho 0.5000 0.5000 0.5998
5 Ho 0.5000 0.5000 0.7984
6 Ho 0.5000 0.0000 0.0998
7 Ho 0.5000 0.0000 0.3002
8 Ho 0.5000 0.0000 0.5000
9 Ho 0.5000 0.0000 0.6998
10 Ho 0.5000 0.0000 0.9002
11 Ho 0.0000 0.5000 0.0998
12 Ho 0.0000 0.5000 0.3002
13 Ho 0.0000 0.5000 0.5000
14 Ho 0.0000 0.5000 0.6998
15 Ho 0.0000 0.5000 0.9002
16 Er 0.0000 0.0000 0.2004
17 Er 0.0000 0.0000 0.4003
18 Er 0.0000 0.0000 0.5997
19 Er 0.0000 0.0000 0.7996
20 Th 0.0000 0.0000 0.0000

=====

(14)
Density functional theory data (PBE-GGA) for an optimized crystal structure of Ho7ErTh4.

Results
Crystal system ... trigonal
ΔH_f (0 K) ... 0.25 eV/f.u.
Total DFT energy (no corrections) ... -66.03 eV for the cell shown

Cell lengths 3.5597, 3.5597, 34.4011 Å; angles 90.00, 90.00, 120.00 degrees
Atoms (fractional coordinates):
1 Ho 0.0000 0.0000 0.0000
2 Ho 0.6667 0.3333 0.5839
3 Ho 0.3333 0.6667 0.4161
4 Ho 0.6667 0.3333 0.8348
5 Ho 0.3333 0.6667 0.1652
6 Ho 0.0000 0.0000 0.2516
7 Ho 0.0000 0.0000 0.7484
8 Er 0.0000 0.0000 0.5000
9 Th 0.6667 0.3333 0.0837
10 Th 0.3333 0.6667 0.9163
11 Th 0.6667 0.3333 0.3333
12 Th 0.3333 0.6667 0.6667

=====

(15)
Density functional theory data (PBE-GGA) for an optimized crystal structure of Ho2Er6Th.

Results
Crystal system ... trigonal
ΔH_f (0 K) ... 3.88 eV/f.u.
Total DFT energy (no corrections) ... -40.07 eV for the cell shown

Cell lengths 6.8524, 6.8524, 8.6692 Å; angles 66.72, 66.72, 60.00 degrees
Atoms (fractional coordinates):
1 Ho 0.7409 0.7409 0.7773
2 Ho 0.5811 0.5811 0.2568
3 Er 0.7710 0.2837 0.6630
4 Er 0.2822 0.7710 0.6630
5 Er 0.2837 0.2822 0.6630
6 Er 0.0564 0.5590 0.3294
7 Er 0.0551 0.0564 0.3294
8 Er 0.5590 0.0551 0.3294
9 Th 0.3362 0.3362 0.9915

=====

(16)
Density functional theory data (PBE-GGA) for an optimized crystal structure of Ho6ErTh4.

Results
Crystal system ... orthorhombic
ΔH_f (0 K) ... 1.78 eV/f.u.
Energy relative to the lowest polymorph listed for this composition ... 0 meV/atom
Total DFT energy (no corrections) ... -59.93 eV for the cell shown

Cell lengths 5.8156, 3.4138, 18.1419 Å; angles 95.40, 99.22, 90.00 degrees
Atoms (fractional coordinates):
1 Ho 0.7329 0.2329 0.4657
2 Ho 0.9046 0.4046 0.8092
3 Ho 0.0954 0.5954 0.1908
4 Ho 0.6311 0.1311 0.2622
5 Ho 0.3689 0.8689 0.7378
6 Ho 0.2671 0.7671 0.5343
7 Er 0.0000 0.0000 0.0000
8 Th 0.4562 0.4562 0.9124
9 Th 0.1819 0.1819 0.3637
10 Th 0.8181 0.8181 0.6363
11 Th 0.5438 0.5438 0.0876

=====

(17)
Density functional theory data (PBE-GGA) for an optimized crystal structure of Ho9Er2Th.

Results
Crystal system ... tetragonal
ΔH_f (0 K) ... 0.34 eV/f.u.
Total DFT energy (no corrections) ... -57.40 eV for the cell shown

Cell lengths 4.9922, 4.9922, 14.9443 Å; angles 90.00, 90.00, 90.00 degrees
Atoms (fractional coordinates):
1 Ho 0.5000 0.5000 0.0000
2 Ho 0.5000 0.5000 0.3355
3 Ho 0.5000 0.5000 0.6645
4 Ho 0.5000 0.0000 0.1659
5 Ho 0.5000 0.0000 0.5000
6 Ho 0.5000 0.0000 0.8341
7 Ho 0.0000 0.5000 0.1659
8 Ho 0.0000 0.5000 0.5000
9 Ho 0.0000 0.5000 0.8341
10 Er 0.0000 0.0000 0.3335
11 Er 0.0000 0.0000 0.6665
12 Th 0.0000 0.0000 0.0000

=====

(18)
Density functional theory data (PBE-GGA) for an optimized crystal structure of Ho4Er4Th.

Results
Crystal system ... tetragonal
ΔH_f (0 K) ... 0.26 eV/f.u.
Total DFT energy (no corrections) ... -43.72 eV for the cell shown

Cell lengths 4.9942, 7.8831, 7.8831 Å; angles 84.24, 71.53, 71.53 degrees
Atoms (fractional coordinates):
1 Ho 0.0000 0.6682 0.3318
2 Ho 0.0000 0.3318 0.6682
3 Ho 0.6682 0.3318 0.3318
4 Ho 0.3318 0.6682 0.6682
5 Er 0.3353 0.3294 0.0000
6 Er 0.6647 0.6706 0.0000
7 Er 0.6647 0.0000 0.6706
8 Er 0.3353 0.0000 0.3294
9 Th 0.0000 0.0000 0.0000

=====

(19)
Density functional theory data (PBE-GGA) for an optimized crystal structure of Ho4ErTh.

Results
Crystal system ... cubic
ΔH_f (0 K) ... 1.95 eV/f.u.
Energy relative to the lowest polymorph listed for this composition ... 298 meV/atom
Total DFT energy (no corrections) ... -28.34 eV for the cell shown

Cell lengths 6.5019, 6.5019, 6.5019 Å; angles 60.00, 60.00, 60.00 degrees
Site moments in Bohr magnetons follow the coordinates.
Atoms (fractional coordinates):
1 Ho 0.6247 0.6247 0.1260  0.14
2 Ho 0.6247 0.1260 0.6247  0.14
3 Ho 0.6247 0.6247 0.6247  0.14
4 Ho 0.1260 0.6247 0.6247  0.14
5 Th 0.2500 0.2500 0.2500  0.32
6 Er 0.0000 0.0000 0.0000  0.28

=====

(20)
Density functional theory data (PBE-GGA) for an optimized crystal structure of Ho12Er6Th.

Results
Crystal system ... trigonal
ΔH_f (0 K) ... 4.18 eV/f.u.
Energy relative to the lowest polymorph listed for this composition ... 72 meV/atom
Total DFT energy (no corrections) ... -85.55 eV for the cell shown

Cell lengths 8.6463, 8.6463, 8.6463 Å; angles 99.93, 99.93, 99.93 degrees
Atoms (fractional coordinates):
1 Ho 0.7563 0.2437 0.5000
2 Ho 0.3462 0.0763 0.3462
3 Ho 0.3462 0.3462 0.0763
4 Ho 0.9237 0.6538 0.6538
5 Ho 0.6538 0.6538 0.9237
6 Ho 0.6538 0.9237 0.6538
7 Ho 0.5000 0.7563 0.2437
8 Ho 0.2437 0.5000 0.7563
9 Ho 0.2437 0.7563 0.5000
10 Ho 0.5000 0.2437 0.7563
11 Ho 0.7563 0.5000 0.2437
12 Ho 0.0763 0.3462 0.3462
13 Er 0.8933 0.3348 0.8933
14 Er 0.8933 0.8933 0.3348
15 Er 0.3348 0.8933 0.8933
16 Er 0.1067 0.1067 0.6652
17 Er 0.1067 0.6652 0.1067
18 Er 0.6652 0.1067 0.1067
19 Th 0.0000 0.0000 0.0000